1.
VASP calculation (PBE) on crystalline LaY2AlH at its relaxed geometry.

Computed properties:
Crystal system ... tetragonal
VASP energy ... -5.28 eV/atom
N(E_F) ... 7.0 states/eV/f.u.

Cell and atoms, written as CIF:
```
data_LaY2AlH
_chemical_formula_sum 'La1 Y2 Al1 H1'
_cell_length_a 4.914
_cell_length_b 4.914
_cell_length_c 4.777
_cell_angle_alpha 90.00
_cell_angle_beta 90.00
_cell_angle_gamma 90.00
_space_group_name_H-M_alt 'P 4/m m m'
_space_group_IT_number 123
_space_group_name_Hall '-P 4 2'
loop_
_atom_site_label
_atom_site_fract_x
_atom_site_fract_y
_atom_site_fract_z
_atom_site_occupancy
La1 0.000 0.000 0.000 1
Y1 0.000 0.500 0.500 1
Al1 0.500 0.500 0.000 1
H1 0.000 0.000 0.500 1
```

2.
VASP calculation (PBE) on crystalline La2AlZnH at its relaxed geometry.

Computed properties:
Crystal system ... tetragonal
ΔE to the lowest computed polymorph ... 0.0000 eV per atom
N(E_F) ... 2.5 states/eV/f.u.

Cell and atoms, written as CIF:
```
data_La2AlZnH
_chemical_formula_sum 'La2 Al1 Zn1 H1'
_cell_length_a 5.191
_cell_length_b 5.191
_cell_length_c 4.024
_cell_angle_alpha 90.00
_cell_angle_beta 90.00
_cell_angle_gamma 90.00
_space_group_name_H-M_alt 'P 4/m m m'
_space_group_IT_number 123
_space_group_name_Hall '-P 4 2'
loop_
_atom_site_label
_atom_site_fract_x
_atom_site_fract_y
_atom_site_fract_z
_atom_site_occupancy
La1 0.000 0.500 0.000 1
Al1 0.000 0.000 0.500 1
Zn1 0.500 0.500 0.500 1
H1 0.500 0.500 0.000 1
```

Number 1: magnetic moment 0.00 μB per cell. Number 2: magnetic moment 0.00 μB per cell.